Record 1
# KAuF3

A relaxed KAuF3 crystal (PBE, Alexandria via LeMat-Bulk).

```
data_KAuF3
_symmetry_space_group_name_H-M 'P m -3 m'
_symmetry_Int_Tables_number 221
_symmetry_space_group_name_Hall '-P 4 2 3'
_cell_length_a 4.480
_cell_length_b 4.480
_cell_length_c 4.480
_cell_angle_alpha 90.00
_cell_angle_beta 90.00
_cell_angle_gamma 90.00
loop_
_atom_site_label
_atom_site_type_symbol
_atom_site_fract_x
_atom_site_fract_y
_atom_site_fract_z
_atom_site_occupancy
K1 K 0.000 0.000 0.000 1
Au1 Au 0.500 0.500 0.500 1
F1 F 0.000 0.500 0.500 1
```

Calculated values
Uncorrected energy = -3.64 eV/atom
ΔE_f (raw) = -1.641 eV per atom



Record 2
# Rb3ErAg2I9

A relaxed Rb3ErAg2I9 crystal (PBE, Alexandria via LeMat-Bulk).

```
data_Rb3ErAg2I9
_symmetry_space_group_name_H-M 'P -3 m 1'
_symmetry_Int_Tables_number 164
_symmetry_space_group_name_Hall '-P 3 2"'
_cell_length_a 8.4102
_cell_length_b 8.4102
_cell_length_c 10.4892
_cell_angle_alpha 90.00
_cell_angle_beta 90.00
_cell_angle_gamma 120.00
loop_
_atom_site_label
_atom_site_type_symbol
_atom_site_fract_x
_atom_site_fract_y
_atom_site_fract_z
_atom_site_occupancy
Rb1 Rb 0.0000 0.0000 0.0000 1
Rb2 Rb 0.3333 0.6667 0.6844 1
Er1 Er 0.0000 0.0000 0.5000 1
Ag1 Ag 0.3333 0.6667 0.1533 1
I1 I 0.0000 0.5000 0.0000 1
I2 I 0.1677 0.3354 0.3347 1
```

Calculated values
Uncorrected energy = -2.79 eV/atom
ΔE_f (raw) = -0.981 eV per atom



Record 3
# TiNiPd4

A relaxed TiNiPd4 crystal (PBE, Alexandria via LeMat-Bulk).

```
data_TiNiPd4
_symmetry_space_group_name_H-M 'P 4/m m m'
_symmetry_Int_Tables_number 123
_symmetry_space_group_name_Hall '-P 4 2'
_cell_length_a 4.157
_cell_length_b 4.157
_cell_length_c 5.834
_cell_angle_alpha 90.00
_cell_angle_beta 90.00
_cell_angle_gamma 90.00
loop_
_atom_site_label
_atom_site_type_symbol
_atom_site_fract_x
_atom_site_fract_y
_atom_site_fract_z
_atom_site_occupancy
Ti1 Ti 0.000 0.000 0.000 1
Ni1 Ni 0.500 0.500 0.500 1
Pd1 Pd 0.000 0.500 0.254 1
```

Calculated values
Uncorrected energy = -5.82 eV/atom
Formation enthalpy at 0 K = -0.074 eV/atom



Record 4
# CeZnSbO6

A relaxed CeZnSbO6 crystal (PBE, Alexandria via LeMat-Bulk).

```
data_CeZnSbO6
_symmetry_space_group_name_H-M 'P 42 n m'
_symmetry_Int_Tables_number 102
_cell_length_a 4.940
_cell_length_b 4.940
_cell_length_c 9.863
_cell_angle_alpha 90.00
_cell_angle_beta 90.00
_cell_angle_gamma 90.00
loop_
_symmetry_equiv_pos_as_xyz
'x,y,z'
'-y+1/2,x+1/2,z+1/2'
'-x,-y,z'
'y+1/2,-x+1/2,z+1/2'
'-x+1/2,y+1/2,z+1/2'
'y,x,z'
'x+1/2,-y+1/2,z+1/2'
'-y,-x,z'
loop_
_atom_site_label
_atom_site_type_symbol
_atom_site_fract_x
_atom_site_fract_y
_atom_site_fract_z
_atom_site_occupancy
Ce1 Ce 0.000 0.000 0.000 1
Zn1 Zn 0.000 0.000 0.330 1
Sb1 Sb 0.000 0.000 0.664 1
O1 O 0.181 0.181 0.505 1
O2 O 0.196 0.196 0.814 1
O3 O 0.212 0.212 0.170 1
```

Calculated values
Uncorrected energy = -6.38 eV/atom
ΔE_f (raw) = -1.815 eV per atom